VASP calculation (GGA-PBE) on crystalline CePmSm6Y2 at its relaxed geometry. Values from VASP.

Structure (Quantum ESPRESSO input):
```
&SYSTEM
  ibrav = 0, nat = 10, ntyp = 4
/
ATOMIC_SPECIES
Ce 140.12 Ce.upf
Pm 145.00 Pm.upf
Sm 150.36 Sm.upf
Y 88.91 Y.upf
CELL_PARAMETERS angstrom
8.896 0.000 1.161
0.000 6.884 0.000
-2.178 -3.442 5.306
ATOMIC_POSITIONS crystal
Ce 0.000 0.500 0.000
Pm 0.500 0.000 0.000
Sm 0.416 0.630 0.260
Sm 0.198 0.070 0.664
Sm 0.802 0.406 0.336
Sm 0.198 0.594 0.664
Sm 0.802 0.930 0.336
Sm 0.584 0.370 0.740
Y 0.165 0.093 0.186
Y 0.835 0.907 0.814
```

Computed properties:
As for the volume: 34.232 Å³/atom. The calculation puts the magnetization at 1.77 μB/f.u. The value obtained for the formation energy is 238 kJ/mol of formula units. The density of states at the Fermi level comes out at 2.3379 states/eV per atom.